(1)
Crystalline LiZrIrAu at its relaxed geometry, computed with PBE-GGA.

The space group is F-43m (No. 216) and the conventional cell measures 6.474, 6.474 and 6.474 Å, with angles of 90.00, 90.00 and 90.00 degrees. The inequivalent atoms are Li at (0.000, 0.000, 0.000), Zr at (0.000, 0.000, 0.500), Ir at (0.250, 0.250, 0.750) and Au at (0.250, 0.250, 0.250).

For the density, the calculation gives 11.93 g/cm3. For the formation energy, the calculation gives -499 meV/atom.

(2)
Crystalline Lu2IrAu at its relaxed geometry, computed with PBE-GGA.

The space group is P4/mmm (No. 123) and the conventional cell measures 3.443, 3.443 and 6.922 Å, with angles of 90.00, 90.00 and 90.00 degrees. The inequivalent atoms are Lu at (0.000, 0.000, 0.233), Ir at (0.500, 0.500, 0.000) and Au at (0.500, 0.500, 0.500).

For the density, the calculation gives 14.95 g/cm3. For the formation energy, the calculation gives -924 meV/atom.

(3)
Crystalline LuNpIrAu at its relaxed geometry, computed with PBE-GGA.

The space group is F-43m (No. 216) and the conventional cell measures 6.970, 6.970 and 6.970 Å, with angles of 90.00, 90.00 and 90.00 degrees. The inequivalent atoms are Lu at (0.000, 0.000, 0.000), Np at (0.000, 0.000, 0.500), Ir at (0.250, 0.250, 0.250) and Au at (0.250, 0.250, 0.750).

For the density, the calculation gives 15.72 g/cm3. For the formation energy, the calculation gives -428 meV/atom.